No. 1
The following is a DFT calculation (PBE) of a relaxed structure of Zr3GeB.

CIF file:
```
data_Zr3GeB
_chemical_formula_sum 'Zr3 Ge1 B1'
_cell_length_a 4.582
_cell_length_b 4.582
_cell_length_c 4.582
_cell_angle_alpha 90.00
_cell_angle_beta 90.00
_cell_angle_gamma 90.00
_symmetry_space_group_name_H-M 'P m -3 m'
_symmetry_Int_Tables_number 221
_symmetry_space_group_name_Hall '-P 4 2 3'
loop_
_atom_site_label
_atom_site_type_symbol
_atom_site_fract_x
_atom_site_fract_y
_atom_site_fract_z
Zr1 Zr 0.000 0.000 0.500
Ge1 Ge 0.500 0.500 0.500
B1 B 0.000 0.000 0.000
```

Calculated values
ΔE_f   -0.379 eV/atom

No. 2
The following is a DFT calculation (PBE) of a relaxed structure of ZrGeB3.

CIF file:
```
data_ZrGeB3
_chemical_formula_sum 'Zr1 Ge1 B3'
_cell_length_a 4.046
_cell_length_b 4.046
_cell_length_c 4.046
_cell_angle_alpha 90.00
_cell_angle_beta 90.00
_cell_angle_gamma 90.00
_symmetry_space_group_name_H-M 'P m -3 m'
_symmetry_Int_Tables_number 221
_symmetry_space_group_name_Hall '-P 4 2 3'
loop_
_atom_site_label
_atom_site_type_symbol
_atom_site_fract_x
_atom_site_fract_y
_atom_site_fract_z
Zr1 Zr 0.000 0.000 0.000
Ge1 Ge 0.500 0.500 0.500
B1 B 0.000 0.500 0.500
```

Calculated values
ΔE_f   1.318 eV/atom

No. 3
The following is a DFT calculation (PBE) of a relaxed structure of Zr2GeB.

CIF file:
```
data_Zr2GeB
_chemical_formula_sum 'Zr8 Ge4 B4'
_cell_length_a 6.844
_cell_length_b 6.844
_cell_length_c 6.060
_cell_angle_alpha 90.00
_cell_angle_beta 90.00
_cell_angle_gamma 90.00
_symmetry_space_group_name_H-M 'I -4 2 d'
_symmetry_Int_Tables_number 122
_symmetry_space_group_name_Hall 'I -4 2bw'
loop_
_atom_site_label
_atom_site_type_symbol
_atom_site_fract_x
_atom_site_fract_y
_atom_site_fract_z
Zr1 Zr 0.215 0.750 0.125
Ge1 Ge 0.000 0.000 0.500
B1 B 0.000 0.000 0.000
```

Calculated values
ΔE_f   -0.225 eV/atom

No. 4
The following is a DFT calculation (PBE) of a relaxed structure of Zr5GeB2.

CIF file:
```
data_Zr5GeB2
_chemical_formula_sum 'Zr20 Ge4 B8'
_cell_length_a 6.649
_cell_length_b 6.649
_cell_length_c 12.520
_cell_angle_alpha 90.00
_cell_angle_beta 90.00
_cell_angle_gamma 90.00
_symmetry_space_group_name_H-M 'I 4/m c m'
_symmetry_Int_Tables_number 140
_symmetry_space_group_name_Hall '-I 4 2c'
loop_
_atom_site_label
_atom_site_type_symbol
_atom_site_fract_x
_atom_site_fract_y
_atom_site_fract_z
Zr1 Zr 0.000 0.000 0.000
Zr2 Zr 0.175 0.325 0.134
Ge1 Ge 0.000 0.000 0.250
B1 B 0.102 0.398 0.500
```

Calculated values
ΔE_f   -0.523 eV/atom